DFT (GGA+U) results for an optimized crystal structure of CrTc3F. Values from VASP.

Properties
**Calculated volume**: 92.3 Å³/cell
**Final energy**: -0.230 Ha/atom
**Spin magnetization**: 3.5 μB per cell

Quantum ESPRESSO input file:
```
&SYSTEM
  ibrav = 0, nat = 5, ntyp = 3
/
ATOMIC_SPECIES
Cr 52.00 Cr.upf
Tc 98.00 Tc.upf
F 19.00 F.upf
CELL_PARAMETERS angstrom
4.520 0.000 0.000
0.000 4.520 0.000
0.000 0.000 4.520
ATOMIC_POSITIONS angstrom
Cr 0.000 0.000 0.000
Tc 0.000 0.000 2.260
Tc 0.000 2.260 0.000
Tc 2.260 0.000 0.000
F 2.260 2.260 2.260
```